The following is a PBE-GGA calculation of a geometry-optimized SmZnGa2 structure, from the Alexandria database.

Output
- Calculated volume: 247.2 Å³/cell
- Formation energy from the elements: -0.455 eV per atom
- Uncorrected energy: -41.60 eV/cell

a = 4.2645 Å, b = 4.2645 Å, c = 15.6970 Å
α = 90.00°, β = 90.00°, γ = 120.00°
Space group R-3m (No. 166, hexagonal axes)
Inequivalent atoms, fractional coordinates:
Sm  0.0000  0.0000  0.0000 [3 per cell]
Zn  0.0000  0.0000  0.5000 [3 per cell]
Ga  0.0000  0.0000  0.2192 [6 per cell]

=====

The following is a PBE-GGA calculation of a geometry-optimized KNF2 structure, from the Alexandria database.

Output
- Calculated volume: 250.1 Å³/cell
- Uncorrected energy: -46.72 eV/cell
- ΔE to the lowest computed polymorph: 0.0 meV per atom

a = 3.9667 Å, b = 3.9667 Å, c = 18.3570 Å
α = 90.00°, β = 90.00°, γ = 120.00°
Space group R-3m (No. 166, hexagonal axes)
Inequivalent atoms, fractional coordinates:
K  0.0000  0.0000  0.0000 [3 per cell]
N  0.0000  0.0000  0.5000 [3 per cell]
F  0.0000  0.0000  0.4048 [6 per cell]